Version w
{"formula": "VPt3O", "functional": "GGA+U", "state": "relaxed", "lattice_angstrom": [[-4.083, 1.107, 0.674], [-0.936, -4.060, 0.996], [0.896, 0.802, 4.112]], "species": ["Pt", "O", "Pt", "Pt", "V"], "fractional_positions": [[0.500, 0.000, 0.000], [0.000, 0.000, 0.000], [0.000, 0.500, 0.000], [0.000, 0.000, 0.500], [0.500, 0.500, 0.500]], "space_group": "No. 221"}

=====

Version x
{"formula": "VPt3O", "functional": "GGA+U", "state": "relaxed", "lattice_angstrom": [[-1.759, 2.250, 3.695], [2.018, -3.101, 2.849], [3.826, 2.670, 0.197]], "species": ["Pt", "O", "Pt", "V", "Pt"], "fractional_positions": [[0.000, 0.000, 0.500], [0.500, 0.500, 0.500], [0.000, 0.500, 0.000], [0.000, 0.000, 0.000], [0.500, 0.000, 0.000]], "space_group": "No. 221"}

=====

List of relative energies, unit kJ/mol of atoms: version w 0.0; version x 112.0

=====

Version w
{"formula": "VPtO2", "functional": "GGA+U", "state": "relaxed", "lattice_angstrom": [[2.082, 0.000, 5.250], [-1.041, 1.803, 5.250], [-1.041, -1.803, 5.250]], "species": ["Pt", "O", "O", "V"], "fractional_positions": [[0.500, 0.500, 0.500], [0.881, 0.881, 0.881], [0.119, 0.119, 0.119], [0.000, 0.000, 0.000]], "space_group": "No. 166"}

=====

Version x
{"formula": "VPtO2", "functional": "GGA+U", "state": "relaxed", "lattice_angstrom": [[1.713, 0.000, 6.231], [-0.856, 1.483, 6.231], [-0.856, -1.483, 6.231]], "species": ["V", "O", "Pt", "O"], "fractional_positions": [[0.500, 0.500, 0.500], [0.109, 0.109, 0.109], [0.000, 0.000, 0.000], [0.891, 0.891, 0.891]], "space_group": "No. 166"}

=====

Version y
{"formula": "VPtO2", "functional": "GGA+U", "state": "relaxed", "lattice_angstrom": [[4.916, 0.000, 0.000], [0.000, 4.916, 0.000], [2.458, 2.458, 4.557]], "species": ["O", "V", "Pt", "O", "O", "O", "V", "Pt"], "fractional_positions": [[0.190, 0.625, 0.250], [0.250, 0.750, 0.500], [0.000, 0.000, 0.000], [0.560, 0.125, 0.250], [0.875, 0.810, 0.750], [0.375, 0.440, 0.750], [0.500, 0.500, 0.000], [0.750, 0.250, 0.500]], "space_group": "No. 122"}

=====

List of relative energies, unit kJ/mol of atoms: version w 104.1; version x 0.0; version y 53.4

=====

Version w
{"formula": "VPt2O6", "functional": "GGA+U", "state": "relaxed", "lattice_angstrom": [[-2.090, -1.104, -1.981], [-0.109, -5.293, 3.065], [-3.741, 4.012, 4.110]], "species": ["Pt", "V", "Pt", "O", "O", "O", "O", "O", "O"], "fractional_positions": [[0.835, 0.669, 0.670], [0.500, 0.000, 0.000], [0.165, 0.331, 0.330], [0.650, 0.108, 0.300], [0.350, 0.892, 0.700], [0.990, 0.787, 0.981], [0.321, 0.445, 0.642], [0.679, 0.555, 0.358], [0.010, 0.213, 0.019]], "space_group": "No. 12"}

=====

Version x
{"formula": "VPt2O6", "functional": "GGA+U", "state": "relaxed", "lattice_angstrom": [[3.850, 0.000, 0.000], [1.925, 5.042, -0.145], [1.925, 1.962, 5.538]], "species": ["O", "O", "Pt", "O", "O", "V", "O", "Pt", "O"], "fractional_positions": [[0.027, 0.170, 0.775], [0.727, 0.659, 0.887], [0.825, 0.249, 0.101], [0.973, 0.830, 0.225], [0.628, 0.337, 0.407], [0.000, 0.500, 0.500], [0.372, 0.663, 0.593], [0.175, 0.751, 0.899], [0.273, 0.341, 0.113]], "space_group": "No. 12"}

=====

List of relative energies, unit kJ/mol of atoms: version w 0.0; version x 21.5

=====

Version w
{"formula": "PtWO2", "functional": "GGA+U", "state": "relaxed", "lattice_angstrom": [[4.053, 0.000, 0.000], [0.000, 4.053, 0.000], [2.027, 2.027, 6.479]], "species": ["W", "O", "O", "O", "Pt", "O", "Pt", "W"], "fractional_positions": [[0.500, 0.500, 0.000], [0.182, 0.625, 0.250], [0.375, 0.432, 0.750], [0.875, 0.818, 0.750], [0.750, 0.250, 0.500], [0.568, 0.125, 0.250], [0.000, 0.000, 0.000], [0.250, 0.750, 0.500]], "space_group": "No. 122"}

=====

Version x
{"formula": "PtWO2", "functional": "GGA+U", "state": "relaxed", "lattice_angstrom": [[0.000, 2.884, 2.884], [2.884, 0.000, 2.884], [2.884, 2.884, 0.000]], "species": ["W", "O", "Pt", "O"], "fractional_positions": [[0.000, 0.000, 0.000], [0.750, 0.750, 0.750], [0.500, 0.500, 0.500], [0.250, 0.250, 0.250]], "space_group": "No. 225"}

=====

Version y
{"formula": "PtWO2", "functional": "GGA+U", "state": "relaxed", "lattice_angstrom": [[1.620, 0.000, 6.905], [-0.810, 1.403, 6.905], [-0.810, -1.403, 6.905]], "species": ["O", "W", "Pt", "O"], "fractional_positions": [[0.099, 0.099, 0.099], [0.500, 0.500, 0.500], [0.000, 0.000, 0.000], [0.901, 0.901, 0.901]], "space_group": "No. 166"}

=====

List of relative energies, unit kJ/mol of atoms: version w 30.8; version x 101.6; version y 0.0